The following is a DFT calculation (GGA+U) of a relaxed Li10Mn2Fe3Co3O16 crystal.

a = 5.8033 Å, b = 6.0058 Å, c = 9.6931 Å
α = 87.61°, β = 90.22°, γ = 60.99°
Last column: magnetic moment on the atom in μB.
Sites, in units of the cell vectors:
Li  0.9827  0.0278  0.9760  0.00
Li  0.0059  0.9816  0.4845  0.00
Li  0.2084  0.5841  0.5303  0.00
Li  0.1791  0.2075  0.5498  0.00
Li  0.3232  0.3519  0.7693  0.00
Li  0.3852  0.8147  0.0486  0.00
Li  0.6214  0.2203  0.5525  0.01
Li  0.8130  0.8029  0.0535  0.00
Li  0.8014  0.3947  0.0422  0.00
Li  0.6829  0.6338  0.2705  0.00
Mn  0.3176  0.3537  0.0234  2.09
Mn  0.6546  0.6964  0.5264  3.86
Fe  0.1735  0.1589  0.2789  1.17
Fe  0.6673  0.1592  0.2783  -1.13
Fe  0.8133  0.3720  0.7814  1.16
Co  0.1741  0.6538  0.2754  -2.68
Co  0.3186  0.8617  0.7800  2.69
Co  0.8157  0.8621  0.7834  1.92
O  0.9939  0.0111  0.1700  -0.05
O  0.9597  0.0526  0.6771  -0.03
O  0.1295  0.7035  0.9057  0.03
O  0.0219  0.4740  0.1538  -0.09
O  0.4966  0.4804  0.1503  -0.04
O  0.3479  0.3082  0.3922  -0.05
O  0.1430  0.2058  0.9047  -0.01
O  0.4863  0.0289  0.1577  -0.02
O  0.3378  0.8341  0.4054  -0.07
O  0.6425  0.2150  0.9042  0.03
O  0.5089  0.0174  0.6648  0.10
O  0.5027  0.5357  0.6519  -0.02
O  0.8326  0.8276  0.4014  -0.03
O  0.6694  0.6817  0.8915  -0.03
O  0.9709  0.5243  0.6504  0.01
O  0.8500  0.2991  0.3912  0.02

## Properties
As for the total energy: -5.692 eV/atom. The space-group type is No. 1. The value obtained for the density is 4.387 g/cm3.